1.
Density functional theory data (PBE) for crystalline CdHgGe2O6 at its relaxed geometry.

Computed properties:
Its formation energy without anion corrections is -1.283 eV/atom. Its theoretical density is 6331 kg/m3. Its total magnetization is 0.00 μB per formula unit. The calculation puts the electronic total energy at -5.30 eV/atom.

The structure in CIF format:
```
data_CdHgGe2O6
_chemical_formula_sum 'Cd4 Hg4 Ge8 O24'
_cell_length_a 10.679
_cell_length_b 10.137
_cell_length_c 5.694
_cell_angle_alpha 90.00
_cell_angle_beta 109.36
_cell_angle_gamma 90.00
_space_group_name_H-M_alt 'C 1 2/c 1'
_space_group_IT_number 15
loop_
_space_group_symop_operation_xyz
'x,y,z'
'-x,-y,-z'
'-x,y,-z+1/2'
'x,-y,z+1/2'
'x+1/2,y+1/2,z'
'-x+1/2,-y+1/2,-z'
'-x+1/2,y+1/2,-z+1/2'
'x+1/2,-y+1/2,z+1/2'
loop_
_atom_site_label
_atom_site_fract_x
_atom_site_fract_y
_atom_site_fract_z
_atom_site_occupancy
Cd1 0.000 0.099 0.250 1
Hg1 0.000 0.281 0.750 1
Ge1 0.202 0.420 0.244 1
O1 0.124 0.080 0.651 1
O2 0.125 0.267 0.127 1
O3 0.140 0.464 0.491 1
```

=====

2.
Density functional theory data (PBE) for crystalline Tb6Cd5Rh at its relaxed geometry.

Computed properties:
Its theoretical density is 8844 kg/m3. Its total magnetization is 0.00 μB per formula unit. The calculation puts the electronic total energy at -3.73 eV/atom.

The structure in CIF format:
```
data_Tb6Cd5Rh
_chemical_formula_sum 'Tb12 Cd10 Rh2'
_cell_length_a 5.196
_cell_length_b 7.529
_cell_length_c 15.536
_cell_angle_alpha 90.00
_cell_angle_beta 90.00
_cell_angle_gamma 90.00
_space_group_name_H-M_alt 'I m m m'
_space_group_IT_number 71
_space_group_name_Hall '-I 2 2'
loop_
_atom_site_label
_atom_site_fract_x
_atom_site_fract_y
_atom_site_fract_z
_atom_site_occupancy
Tb1 0.000 0.226 0.000 1
Tb2 0.000 0.267 0.345 1
Cd1 0.000 0.000 0.185 1
Cd2 0.000 0.000 0.500 1
Cd3 0.000 0.500 0.168 1
Rh1 0.000 0.500 0.500 1
```

=====

3.
Density functional theory data (PBE) for crystalline Y2GeBO at its relaxed geometry.

Computed properties:
Its formation energy without anion corrections is 0.087 eV/atom. Its theoretical density is 4429 kg/m3. Its total magnetization is 0.00 μB per formula unit. The calculation puts the electronic total energy at -5.75 eV/atom.

The structure in CIF format:
```
data_Y2GeBO
_chemical_formula_sum 'Y2 Ge1 B1 O1'
_cell_length_a 5.298
_cell_length_b 5.298
_cell_length_c 3.703
_cell_angle_alpha 90.00
_cell_angle_beta 90.00
_cell_angle_gamma 90.00
_space_group_name_H-M_alt 'P 4/m m m'
_space_group_IT_number 123
_space_group_name_Hall '-P 4 2'
loop_
_atom_site_label
_atom_site_fract_x
_atom_site_fract_y
_atom_site_fract_z
_atom_site_occupancy
Y1 0.000 0.500 0.000 1
Ge1 0.000 0.000 0.000 1
B1 0.000 0.000 0.500 1
O1 0.500 0.500 0.500 1
```

=====

4.
Density functional theory data (PBE) for crystalline Ac5SmAs6 at its relaxed geometry.

Computed properties:
Its theoretical density is 7459 kg/m3. Its total magnetization is 0.00 μB per formula unit. The calculation puts the electronic total energy at -5.90 eV/atom.

The structure in CIF format:
```
data_Ac5SmAs6
_chemical_formula_sum 'Ac10 Sm2 As12'
_cell_length_a 7.793
_cell_length_b 13.494
_cell_length_c 7.792
_cell_angle_alpha 90.00
_cell_angle_beta 109.49
_cell_angle_gamma 90.00
_space_group_name_H-M_alt 'C 1 2/m 1'
_space_group_IT_number 12
loop_
_space_group_symop_operation_xyz
'x,y,z'
'-x,-y,-z'
'-x,y,-z'
'x,-y,z'
'x+1/2,y+1/2,z'
'-x+1/2,-y+1/2,-z'
'-x+1/2,y+1/2,-z'
'x+1/2,-y+1/2,z'
loop_
_atom_site_label
_atom_site_fract_x
_atom_site_fract_y
_atom_site_fract_z
_atom_site_occupancy
Ac1 0.000 0.000 0.000 1
Ac2 0.000 0.166 0.500 1
Ac3 0.000 0.332 0.000 1
Sm1 0.000 0.500 0.500 1
As1 0.242 0.500 0.255 1
As2 0.243 0.338 0.744 1
```